No. 1
An optimized crystal structure of Tm6CdSi2. Source: the Alexandria database, functional PBE.

Unit cell a=8.3783 b=8.3783 c=8.3783 alpha=111.71 beta=111.25 gamma=105.53
Last column: nearest neighbours and their distance in Å.
Fractional coordinates of all 18 atoms:
Tm1 0.0251 0.8218 0.2033  3 Si 2.82-2.96
Tm2 0.2464 0.5458 0.2993  2 Si 2.90-3.13, 2 Cd 3.13-3.19
Tm3 0.2464 0.9471 0.7007  2 Si 2.90-3.13, 2 Cd 3.13-3.19
Tm4 0.2735 0.3181 0.5917  3 Si 2.99-3.07, 1 Cd 3.10
Tm5 0.2735 0.6819 0.9554  3 Si 2.99-3.07, 1 Cd 3.10
Tm6 0.3815 0.1782 0.2033  3 Si 2.82-2.96
Tm7 0.6185 0.8218 0.7967  3 Si 2.82-2.96
Tm8 0.7265 0.3181 0.0446  3 Si 2.99-3.07, 1 Cd 3.10
Tm9 0.7265 0.6819 0.4083  3 Si 2.99-3.07, 1 Cd 3.10
Tm10 0.7536 0.0529 0.2993  2 Si 2.90-3.13, 2 Cd 3.13-3.19
Tm11 0.7536 0.4542 0.7007  2 Si 2.90-3.13, 2 Cd 3.13-3.19
Tm12 0.9749 0.1782 0.7967  3 Si 2.82-2.96
Cd1 0.0000 0.5000 0.5000  8 Tm 3.10-3.13, 2 Si 3.36
Cd2 0.5000 0.0000 0.5000  8 Tm 3.19-3.34
Si1 0.0000 0.1432 0.1432  1 Si 2.69, 6 Tm 2.90-2.96
Si2 0.0000 0.8568 0.8568  1 Si 2.69, 6 Tm 2.90-2.96
Si3 0.3821 0.3821 0.0000  1 Si 2.39
Si4 0.6179 0.6179 0.0000  1 Si 2.39

Summary:
E_form (uncorrected), meV/atom: -483
Symmetry: Immm
Total moment, μB per formula unit: 0.000

=====

No. 2
An optimized crystal structure of Tm2CdSi. Source: the Alexandria database, functional PBE.

Unit cell a=3.6374 b=3.6374 c=6.9298 alpha=90.00 beta=90.00 gamma=90.00
Last column: nearest neighbours and their distance in Å.
Fractional coordinates of all 4 atoms:
Tm1 0.0000 0.0000 0.2287  4 Si 3.02, 1 Tm 3.17, 4 Cd 3.19
Tm2 0.0000 0.0000 0.7713  4 Si 3.02, 1 Tm 3.17, 4 Cd 3.19
Cd1 0.5000 0.5000 0.5000  8 Tm 3.19, 2 Si 3.46
Si1 0.5000 0.5000 0.0000  8 Tm 3.02

Summary:
E_form (uncorrected), meV/atom: -398
Symmetry: P4/mmm
Total moment, μB per formula unit: 0.000

=====

No. 3
An optimized crystal structure of Tm2CdSi. Source: the Alexandria database, functional PBE.

Unit cell a=8.8496 b=8.8496 c=8.8496 alpha=24.06 beta=24.06 gamma=24.06
Last column: nearest neighbours and their distance in Å.
Fractional coordinates of all 4 atoms:
Tm1 0.2389 0.2389 0.2389  3 Si 2.83
Tm2 0.7611 0.7611 0.7611  3 Si 2.83
Cd1 0.0000 0.0000 0.0000  6 Tm 3.23
Si1 0.5000 0.5000 0.5000  6 Tm 2.83

Summary:
E_form (uncorrected), meV/atom: -299
Symmetry: R-3m
Total moment, μB per formula unit: 0.000

=====

No. 4
An optimized crystal structure of Tm5Cd2Si2. Source: the Alexandria database, functional PBE.

Unit cell a=8.8180 b=8.8180 c=7.4050 alpha=90.00 beta=90.00 gamma=49.67
Last column: nearest neighbours and their distance in Å.
Fractional coordinates of all 18 atoms:
Tm1 0.0000 0.0000 0.0000  4 Si 2.94-2.96
Tm2 0.0581 0.6940 0.6786  3 Si 2.88-3.02, 3 Cd 3.11-3.15
Tm3 0.1940 0.5581 0.1786  3 Si 2.88-3.02, 3 Cd 3.11-3.15
Tm4 0.3060 0.9419 0.6786  3 Si 2.88-3.02, 3 Cd 3.11-3.15
Tm5 0.4419 0.8060 0.1786  3 Si 2.88-3.02, 3 Cd 3.11-3.15
Tm6 0.5000 0.5000 0.5000  4 Si 2.94-2.96
Tm7 0.5581 0.1940 0.8214  3 Si 2.88-3.02, 3 Cd 3.11-3.15
Tm8 0.6940 0.0581 0.3214  3 Si 2.88-3.02, 3 Cd 3.11-3.15
Tm9 0.8060 0.4419 0.8214  3 Si 2.88-3.02, 3 Cd 3.11-3.15
Tm10 0.9419 0.3060 0.3214  3 Si 2.88-3.02, 3 Cd 3.11-3.15
Cd1 0.2214 0.2214 0.0000  6 Tm 3.11-3.15
Cd2 0.2786 0.2786 0.5000  6 Tm 3.11-3.15
Cd3 0.7214 0.7214 0.5000  6 Tm 3.11-3.15
Cd4 0.7786 0.7786 0.0000  6 Tm 3.11-3.15
Si1 0.1194 0.8806 0.3792  1 Si 2.52
Si2 0.3806 0.6194 0.8792  1 Si 2.52
Si3 0.6194 0.3806 0.1208  1 Si 2.52
Si4 0.8806 0.1194 0.6208  1 Si 2.52

Summary:
E_form (uncorrected), meV/atom: -500
Symmetry: Cmce
Total moment, μB per formula unit: 0.000

=====

No. 5
An optimized crystal structure of V2CdSi2. Source: the Alexandria database, functional PBE.

Unit cell a=6.0007 b=6.0007 c=6.0007 alpha=141.75 beta=141.75 gamma=55.21
Last column: nearest neighbours and their distance in Å.
Fractional coordinates of all 5 atoms:
V1 0.2500 0.7500 0.5000  4 Si 2.47
V2 0.7500 0.2500 0.5000  4 Si 2.47
Cd1 0.0000 0.0000 0.0000  8 Si 3.02, 8 V 3.31
Si1 0.3903 0.3903 0.0000  1 Si 2.33, 4 V 2.47
Si2 0.6097 0.6097 0.0000  1 Si 2.33, 4 V 2.47

Summary:
E_form (uncorrected), meV/atom: 44
Symmetry: I4/mmm
Total moment, μB per formula unit: 0.461

=====

No. 6
An optimized crystal structure of VCd3Si. Source: the Alexandria database, functional PBE.

Unit cell a=5.0588 b=5.0588 c=5.0588 alpha=90.00 beta=90.00 gamma=90.00
Last column: nearest neighbours and their distance in Å.
Fractional coordinates of all 5 atoms:
V1 0.0000 0.0000 0.0000  12 Cd 3.58
Cd1 0.0000 0.5000 0.5000  2 Si 2.53
Cd2 0.5000 0.0000 0.5000  2 Si 2.53
Cd3 0.5000 0.5000 0.0000  2 Si 2.53
Si1 0.5000 0.5000 0.5000  6 Cd 2.53

Summary:
E_form (uncorrected), meV/atom: 913
Symmetry: Pm-3m
Total moment, μB per formula unit: 4.392

=====

No. 7
An optimized crystal structure of V2CdSi. Source: the Alexandria database, functional PBE.

Unit cell a=9.7361 b=9.7361 c=9.7361 alpha=157.72 beta=157.72 gamma=31.72
Last column: nearest neighbours and their distance in Å.
Fractional coordinates of all 8 atoms:
V1 0.0921 0.6250 0.9671  2 V 2.49, 2 Si 2.65, 2 Cd 2.74
V2 0.3750 0.3421 0.4671  2 V 2.49, 2 Si 2.65, 2 Cd 2.74
V3 0.6579 0.1250 0.0329  2 V 2.49, 2 Si 2.65, 2 Cd 2.74
V4 0.8750 0.9079 0.5329  2 V 2.49, 2 Si 2.65, 2 Cd 2.74
Cd1 0.2500 0.7500 0.5000  4 Si 2.66, 4 V 2.74
Cd2 0.5000 0.5000 0.0000  4 Si 2.66, 4 V 2.74
Si1 0.0000 0.0000 0.0000  4 V 2.65, 4 Cd 2.66
Si2 0.7500 0.2500 0.5000  4 V 2.65, 4 Cd 2.66

Summary:
E_form (uncorrected), meV/atom: 586
Symmetry: I-42d
Total moment, μB per formula unit: 0.000

=====

No. 8
An optimized crystal structure of V3CdSi. Source: the Alexandria database, functional PBE.

Unit cell a=4.8226 b=4.8226 c=4.8226 alpha=90.00 beta=90.00 gamma=90.00
Last column: nearest neighbours and their distance in Å.
Fractional coordinates of all 5 atoms:
V1 0.0000 0.0000 0.5000  2 Cd 2.41
V2 0.0000 0.5000 0.0000  2 Cd 2.41
V3 0.5000 0.0000 0.0000  2 Cd 2.41
Cd1 0.0000 0.0000 0.0000  6 V 2.41
Si1 0.5000 0.5000 0.5000  12 V 3.41

Summary:
E_form (uncorrected), meV/atom: 1895
Symmetry: Pm-3m
Total moment, μB per formula unit: 5.906